one | Here is a relaxed structure of TmTh2Fe from the Alexandria database. Energies are from PBE.

abc: 3.6889 11.5818 9.7324
angles: 90.00 90.00 90.00
Space group Cmcm (No. 63)
Unique sites:
Tm (0.0000, 0.0885, 0.2500)
Th (0.0000, 0.3611, 0.0698)
Fe (0.0000, 0.2001, 0.7500)

The density of states at the Fermi level comes out at 4.32 states/eV/f.u. The value obtained for the volume is 415.8 Å³/cell.

two | Here is a relaxed structure of TmTh2Fe from the Alexandria database. Energies are from PBE.

abc: 3.5019 3.5019 8.5904
angles: 90.00 90.00 90.00
Space group P4/mmm (No. 123)
Unique sites:
Tm (0.0000, 0.0000, 0.0000)
Th (0.5000, 0.5000, 0.2993)
Fe (0.0000, 0.0000, 0.5000)

The density of states at the Fermi level comes out at 5.06 states/eV/f.u. The value obtained for the volume is 105.3 Å³/cell.

three | Here is a relaxed structure of TmTh2Fe from the Alexandria database. Energies are from PBE.

abc: 3.7681 3.7681 26.7855
angles: 90.00 90.00 120.00
Space group R-3m (No. 166, hexagonal axes)
Unique sites:
Tm (0.0000, 0.0000, 0.0000)
Th (0.0000, 0.0000, 0.2258)
Fe (0.0000, 0.0000, 0.5000)

The density of states at the Fermi level comes out at 4.52 states/eV/f.u. The value obtained for the volume is 329.4 Å³/cell.

four | Here is a relaxed structure of TmTh2Fe from the Alexandria database. Energies are from PBE.

abc: 6.9627 9.7662 6.1500
angles: 90.00 90.00 90.00
Space group Pnma (No. 62)
Unique sites:
Tm (0.0487, 0.2500, 0.1552)
Th (0.1677, 0.0686, 0.6751)
Fe (0.1046, 0.7500, 0.3927)

The density of states at the Fermi level comes out at 5.06 states/eV/f.u. The value obtained for the volume is 418.2 Å³/cell.

four wins, 0.6 kJ/mol of atoms ahead of the next structure.

one | Here is a relaxed structure of ThUFe3 from the Alexandria database. Energies are from PBE.

abc: 5.2022 8.7675 7.7709
angles: 90.00 90.00 90.00
Space group Imma (No. 74)
Unique sites:
Th (0.0000, 0.2500, 0.0591)
U (0.0000, 0.0000, 0.5000)
Fe (0.0000, 0.2500, 0.6982)
Fe (0.2500, 0.0184, 0.7500)

The density of states at the Fermi level comes out at 5.98 states/eV/f.u. The value obtained for the volume is 354.4 Å³/cell.

two | Here is a relaxed structure of ThUFe3 from the Alexandria database. Energies are from PBE.

abc: 7.5298 5.8366 8.6708
angles: 90.00 112.43 90.00
Space group P2_1/c (No. 14)
Unique sites:
Th (0.0944, 0.0979, 0.2087)
U (0.3926, 0.7112, 0.0716)
Fe (0.1233, 0.6157, 0.0939)
Fe (0.3401, 0.2109, 0.5599)
Fe (0.3821, 0.0078, 0.8554)

The density of states at the Fermi level comes out at 5.29 states/eV/f.u. The value obtained for the volume is 352.2 Å³/cell.

two wins, 1.9 kJ/mol of atoms ahead of the next structure.

one | Here is a relaxed structure of YThFe from the Alexandria database. Energies are from PBE.

abc: 3.4274 3.4274 12.6004
angles: 90.00 90.00 90.00
Space group I4mm (No. 107)
Unique sites:
Y (0.0000, 0.0000, 0.0000)
Th (0.0000, 0.0000, 0.2636)
Fe (0.0000, 0.0000, 0.6419)

The density of states at the Fermi level comes out at 3.91 states/eV/f.u. The value obtained for the volume is 148.0 Å³/cell.

two | Here is a relaxed structure of YThFe from the Alexandria database. Energies are from PBE.

abc: 7.2877 6.9102 7.0576
angles: 90.00 118.95 90.00
Space group P2_1/c (No. 14)
Unique sites:
Y (0.0954, 0.1341, 0.3480)
Th (0.4197, 0.7427, 0.6922)
Fe (0.3165, 0.0342, 0.8282)

The density of states at the Fermi level comes out at 2.16 states/eV/f.u. The value obtained for the volume is 311.0 Å³/cell.

two wins, 11.7 kJ/mol of atoms ahead of the next structure.

one | Here is a relaxed structure of Th2ZnFe from the Alexandria database. Energies are from PBE.

abc: 3.9249 3.9249 27.8649
angles: 90.00 90.00 120.00
Space group R-3m (No. 166, hexagonal axes)
Unique sites:
Th (0.0000, 0.0000, 0.1152)
Zn (0.0000, 0.0000, 0.0000)
Fe (0.0000, 0.0000, 0.5000)

The density of states at the Fermi level comes out at 3.00 states/eV/f.u. The value obtained for the volume is 371.7 Å³/cell.

two | Here is a relaxed structure of Th2ZnFe from the Alexandria database. Energies are from PBE.

abc: 3.5371 3.5371 7.3444
angles: 90.00 90.00 90.00
Space group P4/mmm (No. 123)
Unique sites:
Th (0.0000, 0.0000, 0.2286)
Zn (0.5000, 0.5000, 0.5000)
Fe (0.5000, 0.5000, 0.0000)

The density of states at the Fermi level comes out at 3.63 states/eV/f.u. The value obtained for the volume is 91.9 Å³/cell.

two wins, 27.3 kJ/mol of atoms ahead of the next structure.